Record 1
A relaxed CaAg2Te crystal. Source: Alexandria, functional GGA-PBE.

uncorrected formation energy: -351 meV/atom
energy: -3.063 eV/atom
size of the total moment: 0.0 μB per formula unit

abc: 7.2987 7.2987 7.2987
angles: 90.00 90.00 90.00
Space group F-43m (No. 216)
Unique sites:
Ca 0.0000 0.0000 0.0000 x4
Ag 0.0000 0.0000 0.5000 x4
Ag 0.2500 0.2500 0.2500 x4
Te 0.2500 0.2500 0.7500 x4

Record 2
A relaxed YZrRe2 crystal. Source: Alexandria, functional GGA-PBE.

ΔE_f: 204 meV per atom
energy: -9.774 eV/atom
size of the total moment: 0.0 μB per formula unit

abc: 6.7353 6.7353 6.7353
angles: 90.00 90.00 90.00
Space group Fm-3m (No. 225)
Unique sites:
Y 0.0000 0.0000 0.0000 x4
Zr 0.0000 0.0000 0.5000 x4
Re 0.2500 0.2500 0.2500 x8

Record 3
A relaxed Mg2BiN crystal. Source: Alexandria, functional GGA-PBE.

uncorrected formation energy: 717 meV/atom
energy: -3.132 eV/atom
size of the total moment: 1.5 μB per formula unit

abc: 6.7596 6.7596 6.7596
angles: 90.00 90.00 90.00
Space group Fm-3m (No. 225)
Unique sites:
Mg 0.2500 0.2500 0.2500 x8
Bi 0.0000 0.0000 0.0000 x4
N 0.0000 0.0000 0.5000 x4

Record 4
A relaxed Th6Si2AsP3 crystal. Source: Alexandria, functional GGA-PBE.

uncorrected formation energy: -1222 meV/atom
energy: -7.576 eV/atom
size of the total moment: 0.0 μB per formula unit

abc: 18.3257 4.2045 8.4084
angles: 90.00 103.10 90.00
Space group C2/m (No. 12)
Unique sites:
Th 0.0004 0.0000 0.2430 x4
Th 0.1663 0.5000 0.0850 x4
Th 0.1693 0.5000 0.5831 x4
Si 0.1660 0.0000 0.8320 x4
As 0.0000 0.5000 0.5000 x2
P 0.0000 0.5000 0.0000 x2
P 0.1655 0.0000 0.3337 x4

Record 5
A relaxed LaGeAu2 crystal. Source: Alexandria, functional GGA-PBE.

ΔE_f: -434 meV per atom
energy: -4.459 eV/atom
size of the total moment: 0.0 μB per formula unit

abc: 4.9984 4.9984 16.9918
angles: 90.00 90.00 90.00
Space group I-42d (No. 122)
Unique sites:
La 0.0000 0.0000 0.0000 x4
Ge 0.0000 0.0000 0.5000 x4
Au 0.1370 0.2500 0.6250 x8

Record 6
A relaxed Y2FeAg crystal. Source: Alexandria, functional GGA-PBE.

ΔE_f: 358 meV per atom
energy: -5.702 eV/atom
size of the total moment: 3.0 μB per formula unit

abc: 3.3882 3.3882 28.7374
angles: 90.00 90.00 120.00
Space group R3m (No. 160, hexagonal axes)
Unique sites:
Y 0.0000 0.0000 0.0000 x3
Y 0.0000 0.0000 0.2278 x3
Fe 0.0000 0.0000 0.7432 x3
Ag 0.0000 0.0000 0.4757 x3

Record 7
A relaxed Sn4Te crystal. Source: Alexandria, functional GGA-PBE.

uncorrected formation energy: 617 meV/atom
energy: -3.213 eV/atom
size of the total moment: 0.0 μB per formula unit

abc: 5.8253 5.8253 5.8253
angles: 90.00 90.00 90.00
Space group Pm-3m (No. 221)
Unique sites:
Sn 0.0000 0.0000 0.0000 x1
Sn 0.0000 0.5000 0.5000 x3
Te 0.5000 0.5000 0.5000 x1

Record 8
A relaxed Rb2CrCuCl6 crystal. Source: Alexandria, functional GGA-PBE.

uncorrected formation energy: -1327 meV/atom
energy: -4.000 eV/atom
size of the total moment: 2.9 μB per formula unit

abc: 7.4469 8.8830 7.9524
angles: 90.00 90.00 90.00
Space group Pmmn (No. 59, origin choice 2)
Unique sites:
Rb 0.2500 0.0085 0.2188 x4
Cr 0.2500 0.2500 0.7436 x2
Cu 0.2500 0.7500 0.6166 x2
Cl 0.0265 0.2500 0.9506 x4
Cl 0.0275 0.2500 0.5222 x4
Cl 0.2500 0.5226 0.7553 x4

Record 9
A relaxed Pm2TiGe3 crystal. Source: Alexandria, functional GGA-PBE.

ΔE_f: -574 meV per atom
energy: -5.782 eV/atom
size of the total moment: 0.0 μB per formula unit

abc: 11.5392 5.7395 9.1882
angles: 90.00 113.51 90.00
Space group C2/c (No. 15)
Unique sites:
Pm 0.1814 0.0001 0.0908 x8
Ti 0.0000 0.4995 0.2500 x4
Ge 0.0000 0.0006 0.7500 x4
Ge 0.1251 0.5002 0.0626 x8

Record 10
A relaxed LiAgTe2 crystal. Source: Alexandria, functional GGA-PBE.

uncorrected formation energy: -180 meV/atom
energy: -2.942 eV/atom
size of the total moment: 0.0 μB per formula unit

abc: 3.6339 3.6339 27.5358
angles: 90.00 90.00 120.00
Space group R-3m (No. 166, hexagonal axes)
Unique sites:
Li 0.0000 0.0000 0.0000 x3
Ag 0.0000 0.0000 0.5000 x3
Te 0.0000 0.0000 0.4036 x6

Record 11
A relaxed Pm2NdGd crystal. Source: Alexandria, functional GGA-PBE.

ΔE_f: 156 meV per atom
energy: -6.931 eV/atom
size of the total moment: 7.1 μB per formula unit

abc: 3.5488 3.5488 37.9827
angles: 90.00 90.00 120.00
Space group R-3m (No. 166, hexagonal axes)
Unique sites:
Pm 0.0000 0.0000 0.0898 x6
Nd 0.0000 0.0000 0.0000 x3
Gd 0.0000 0.0000 0.5000 x3

Record 12
A relaxed TbNdDy14 crystal. Source: Alexandria, functional GGA-PBE.

ΔE_f: 3 meV per atom
energy: -4.611 eV/atom
size of the total moment: 0.0 μB per formula unit

abc: 11.4770 7.1324 12.3502
angles: 90.00 90.00 90.00
Space group Amm2 (No. 38)
Unique sites:
Tb 0.0000 0.0000 0.0000 x2
Nd 0.0000 0.0000 0.4999 x2
Dy 0.0000 0.2501 0.2500 x4
Dy 0.2503 0.0000 0.1669 x4
Dy 0.2516 0.0000 0.6671 x4
Dy 0.2519 0.2503 0.4168 x8
Dy 0.5000 0.0000 0.3335 x2
Dy 0.5000 0.0000 0.8337 x2
Dy 0.5000 0.2499 0.0838 x4

Record 13
A relaxed NaMg5Tl3 crystal. Source: Alexandria, functional GGA-PBE.

ΔE_f: -43 meV per atom
energy: -1.865 eV/atom
size of the total moment: 0.0 μB per formula unit

abc: 8.9205 8.9205 6.3652
angles: 90.00 90.00 120.00
Space group P6_3/mcm (No. 193)
Unique sites:
Na 0.0000 0.0000 0.0000 x2
Mg 0.0000 0.3404 0.2500 x6
Mg 0.3333 0.6667 0.0000 x4
Tl 0.0000 0.3325 0.7500 x6

Record 14
A relaxed SbPb3 crystal. Source: Alexandria, functional GGA-PBE.

uncorrected formation energy: 39 meV/atom
energy: -3.773 eV/atom
size of the total moment: 0.0 μB per formula unit

abc: 10.0826 8.7018 5.7491
angles: 90.00 90.00 90.00
Space group Cmcm (No. 63)
Unique sites:
Sb 0.0000 0.0614 0.2500 x4
Pb 0.0000 0.3377 0.7500 x4
Pb 0.1995 0.3424 0.2500 x8

Record 15
A relaxed CdIn2Hg8 crystal. Source: Alexandria, functional GGA-PBE.

ΔE_f: 11 meV per atom
energy: -0.790 eV/atom
size of the total moment: 0.0 μB per formula unit

abc: 4.9173 4.9173 12.3734
angles: 90.00 90.00 90.00
Space group P4/mmm (No. 123)
Unique sites:
Cd 0.0000 0.0000 0.0000 x1
In 0.0000 0.0000 0.3221 x2
Hg 0.0000 0.5000 0.1432 x4
Hg 0.0000 0.5000 0.5000 x2
Hg 0.5000 0.5000 0.3232 x2

Record 16
A relaxed AcZrTl2O6 crystal. Source: Alexandria, functional GGA-PBE.

uncorrected formation energy: -2048 meV/atom
energy: -6.762 eV/atom
size of the total moment: 0.0 μB per formula unit

abc: 5.9412 5.9412 16.1022
angles: 90.00 90.00 120.00
Space group R3 (No. 146, hexagonal axes)
Unique sites:
Ac 0.0000 0.0000 0.0000 x3
Zr 0.0000 0.0000 0.5123 x3
Tl 0.0000 0.0000 0.2166 x3
Tl 0.0000 0.0000 0.7333 x3
O 0.0032 0.6113 0.7825 x9
O 0.0637 0.3772 0.2683 x9

Record 17
A relaxed SmPdAu3 crystal. Source: Alexandria, functional GGA-PBE.

ΔE_f: -521 meV per atom
energy: -4.470 eV/atom
size of the total moment: 0.0 μB per formula unit

abc: 5.7015 19.1514 7.4896
angles: 90.00 90.00 90.00
Space group Cmce (No. 64)
Unique sites:
Sm 0.0000 0.1295 0.0793 x8
Pd 0.2500 0.1688 0.7500 x8
Au 0.0000 0.0811 0.4889 x8
Au 0.0000 0.2219 0.4277 x8
Au 0.2500 0.0088 0.7500 x8

Record 18
A relaxed CeYAu2 crystal. Source: Alexandria, functional GGA-PBE.

ΔE_f: -760 meV per atom
energy: -5.498 eV/atom
size of the total moment: 0.7 μB per formula unit

abc: 3.8012 4.7283 5.9061
angles: 90.00 108.70 90.00
Space group Pm (No. 6)
Unique sites:
Ce 0.0000 0.0000 0.0000 x1
Y 0.7240 0.5000 0.4466 x1
Au 0.2748 0.0000 0.5480 x1
Au 0.4507 0.5000 0.9011 x1

Record 19
A relaxed ZrAgAs2 crystal. Source: Alexandria, functional GGA-PBE.

ΔE_f: -427 meV per atom
energy: -5.602 eV/atom
size of the total moment: 0.0 μB per formula unit

abc: 10.1844 3.6926 4.2116
angles: 90.00 101.61 90.00
Space group Cm (No. 8)
Unique sites:
Zr 0.0000 0.0000 0.0000 x2
Ag 0.2286 0.0000 0.6099 x2
As 0.2183 0.5000 0.0838 x2
As 0.4711 0.0000 0.4886 x2

Record 20
A relaxed Li3SmIn4 crystal. Source: Alexandria, functional GGA-PBE.

ΔE_f: -358 meV per atom
energy: -3.035 eV/atom
size of the total moment: 0.0 μB per formula unit

abc: 9.6953 7.4644 4.8509
angles: 90.00 90.00 90.00
Space group Pmma (No. 51)
Unique sites:
Li 0.0000 0.0000 0.0000 x2
Li 0.2500 0.0000 0.4964 x2
Li 0.2500 0.5000 0.4988 x2
Sm 0.0000 0.5000 0.0000 x2
In 0.0000 0.2200 0.5000 x4
In 0.2500 0.2201 0.9978 x4